Run 1
Entry from Alexandria: a relaxed LaPdRu2 crystal (PBE-GGA).

## Properties
Space group: I-42d (122)

a = 4.128 Å, b = 4.128 Å, c = 10.193 Å
α = 78.32°, β = 78.32°, γ = 90.00°
Last column: magnetic moment on the atom in μB.
Positions (direct):
Ru1 0.526 0.125 0.250  0.37
La1 0.000 0.000 0.000  0.03
La2 0.750 0.250 0.500  0.03
Ru2 0.875 0.776 0.750  0.35
Pd1 0.250 0.750 0.500  0.03
Pd2 0.500 0.500 0.000  0.03
Ru3 0.375 0.474 0.750  0.35
Ru4 0.224 0.625 0.250  0.38

Run 2
Entry from Alexandria: a relaxed LaPdRu2 crystal (PBE-GGA).

## Properties
Space group: Fm-3m (225)

a = 4.677 Å, b = 4.677 Å, c = 4.677 Å
α = 60.00°, β = 60.00°, γ = 60.00°
Last column: magnetic moment on the atom in μB.
Positions (direct):
La1 0.500 0.500 0.500  -0.02
Ru1 0.750 0.750 0.750  1.14
Ru2 0.250 0.250 0.250  1.14
Pd1 0.000 0.000 0.000  0.33

Short version: run 1 is the most stable of them.

Run 1
Entry from Alexandria: a relaxed La6PdRu2 crystal (PBE-GGA).

## Properties
Space group: C2/m (12)

a = 4.292 Å, b = 6.507 Å, c = 11.504 Å
α = 107.79°, β = 90.00°, γ = 109.26°
Positions (direct):
La1 0.327 0.653 0.405
Pd1 0.000 0.000 0.500
La2 0.992 0.984 0.238
La3 0.008 0.016 0.762
Ru1 0.331 0.663 0.172
Ru2 0.669 0.337 0.828
La4 0.673 0.347 0.595
La5 0.669 0.338 0.083
La6 0.331 0.662 0.917

Run 2
Entry from Alexandria: a relaxed La6PdRu2 crystal (PBE-GGA).

## Properties
Space group: C2/c (15)

a = 6.477 Å, b = 9.514 Å, c = 9.514 Å
α = 69.00°, β = 75.26°, γ = 75.26°
Positions (direct):
La1 0.798 0.931 0.430
La2 0.647 0.971 0.822
Pd1 0.750 0.747 0.253
La3 0.298 0.430 0.931
La4 0.350 0.677 0.531
La5 0.850 0.531 0.677
Ru1 0.501 0.241 0.259
La6 0.853 0.178 0.029
La7 0.202 0.069 0.570
La8 0.353 0.029 0.178
La9 0.650 0.323 0.469
La10 0.147 0.822 0.971
Ru2 0.499 0.759 0.741
Ru3 0.001 0.259 0.241
La11 0.150 0.469 0.323
Ru4 0.999 0.741 0.759
Pd2 0.250 0.253 0.747
La12 0.702 0.570 0.069

Short version: run 1 is the most stable of them.

Run 1
Entry from Alexandria: a relaxed LaPdS2 crystal (PBE-GGA).

## Properties
Space group: I-42d (122)

a = 5.254 Å, b = 5.254 Å, c = 8.146 Å
α = 71.19°, β = 71.19°, γ = 90.00°
Positions (direct):
S1 0.186 0.625 0.250
S2 0.375 0.436 0.750
Pd1 0.500 0.500 0.000
La1 0.000 0.000 0.000
S3 0.875 0.814 0.750
Pd2 0.250 0.750 0.500
S4 0.564 0.125 0.250
La2 0.750 0.250 0.500

Run 2
Entry from Alexandria: a relaxed LaPdS2 crystal (PBE-GGA).

## Properties
Space group: Fm-3m (225)

a = 4.818 Å, b = 4.818 Å, c = 4.818 Å
α = 60.00°, β = 60.00°, γ = 60.00°
Positions (direct):
La1 0.500 0.500 0.500
S1 0.750 0.750 0.750
Pd1 0.000 0.000 0.000
S2 0.250 0.250 0.250

Short version: run 1 is the most stable of them.

Run 1
Entry from Alexandria: a relaxed LaSb2Pd6 crystal (PBE-GGA).

## Properties
Space group: C2/m (12)

a = 5.442 Å, b = 5.924 Å, c = 5.924 Å
α = 70.93°, β = 82.00°, γ = 82.00°
Positions (direct):
Pd1 0.500 0.794 0.206
Pd2 0.243 0.079 0.484
Pd3 0.500 0.206 0.794
La1 0.000 0.000 0.000
Pd4 0.757 0.921 0.516
Sb1 0.807 0.387 0.387
Sb2 0.193 0.613 0.613
Pd5 0.243 0.484 0.079
Pd6 0.757 0.516 0.921

Run 2
Entry from Alexandria: a relaxed LaSb2Pd6 crystal (PBE-GGA).

## Properties
Space group: P6/mmm (191)

a = 5.679 Å, b = 5.679 Å, c = 7.019 Å
α = 90.00°, β = 90.00°, γ = 120.00°
Positions (direct):
La1 0.000 0.000 0.000
Pd1 0.501 0.501 0.803
Sb1 0.667 0.333 0.500
Pd2 0.499 0.499 0.197
Pd3 0.000 0.499 0.803
Pd4 0.499 0.000 0.803
Pd5 0.501 0.000 0.197
Sb2 0.333 0.667 0.500
Pd6 0.000 0.501 0.197

Short version: run 1 is the most stable of them.

Run 1
Entry from Alexandria: a relaxed La2Sb2Pd crystal (PBE-GGA).

## Properties
Space group: P4/mbm (127)

a = 8.344 Å, b = 8.344 Å, c = 4.356 Å
α = 90.00°, β = 90.00°, γ = 90.00°
Positions (direct):
La1 0.853 0.647 0.000
La2 0.647 0.147 0.000
Sb1 0.164 0.664 0.500
Sb2 0.336 0.164 0.500
Pd1 0.000 0.000 0.000
La3 0.353 0.853 0.000
Pd2 0.500 0.500 0.000
La4 0.147 0.353 0.000
Sb3 0.836 0.336 0.500
Sb4 0.664 0.836 0.500

Run 2
Entry from Alexandria: a relaxed La2Sb2Pd crystal (PBE-GGA).

## Properties
Space group: P4/mbm (127)

a = 7.456 Å, b = 7.456 Å, c = 4.928 Å
α = 90.00°, β = 90.00°, γ = 90.00°
Positions (direct):
La1 0.170 0.670 0.500
La2 0.330 0.170 0.500
Sb1 0.642 0.142 0.000
Pd1 0.000 0.000 0.000
Pd2 0.500 0.500 0.000
La3 0.670 0.830 0.500
La4 0.830 0.330 0.500
Sb2 0.858 0.642 0.000
Sb3 0.142 0.358 0.000
Sb4 0.358 0.858 0.000

Short version: run 2 is the most stable of them.

Run 1
Entry from Alexandria: a relaxed LaSb2Pd4 crystal (PBE-GGA).

## Properties
Space group: Pnma (62)

a = 4.627 Å, b = 7.191 Å, c = 17.570 Å
α = 90.00°, β = 90.00°, γ = 90.00°
Positions (direct):
Pd1 0.250 0.457 0.437
Sb1 0.250 0.757 0.034
Sb2 0.250 0.743 0.534
Pd2 0.750 0.345 0.315
Sb3 0.250 0.557 0.291
La1 0.250 0.022 0.357
Pd3 0.750 0.155 0.815
Pd4 0.250 0.382 0.029
Pd5 0.250 0.845 0.185
Pd6 0.250 0.655 0.685
La2 0.750 0.522 0.143
Pd7 0.750 0.745 0.795
Sb4 0.750 0.243 0.966
Pd8 0.750 0.618 0.971
Pd9 0.250 0.043 0.937
La3 0.750 0.978 0.643
La4 0.250 0.478 0.857
Pd10 0.250 0.255 0.205
Sb5 0.750 0.443 0.709
Pd11 0.750 0.882 0.471
Pd12 0.750 0.957 0.063
Pd13 0.250 0.118 0.529
Sb6 0.750 0.257 0.466
Pd14 0.750 0.755 0.295
Pd15 0.250 0.245 0.705
Pd16 0.750 0.543 0.563
Sb7 0.750 0.057 0.209
Sb8 0.250 0.943 0.791

Run 2
Entry from Alexandria: a relaxed LaSb2Pd4 crystal (PBE-GGA).

## Properties
Space group: P4_2/mnm (136)

a = 4.354 Å, b = 8.076 Å, c = 8.076 Å
α = 90.00°, β = 90.00°, γ = 90.00°
Positions (direct):
Pd1 0.000 0.095 0.352
Pd2 0.000 0.905 0.648
Pd3 0.500 0.852 0.405
Sb1 0.000 0.218 0.782
La1 0.500 0.000 0.000
Sb2 0.500 0.282 0.282
Pd4 0.500 0.148 0.595
Pd5 0.000 0.352 0.095
Sb3 0.500 0.718 0.718
La2 0.000 0.500 0.500
Sb4 0.000 0.782 0.218
Pd6 0.000 0.648 0.905
Pd7 0.500 0.405 0.852
Pd8 0.500 0.595 0.148

Short version: run 2 is the most stable of them.

Run 1
Entry from Alexandria: a relaxed La2ScPd2 crystal (PBE-GGA).

## Properties
Space group: P4/mbm (127)

a = 7.814 Å, b = 7.814 Å, c = 4.151 Å
α = 90.00°, β = 90.00°, γ = 90.00°
Positions (direct):
La1 0.827 0.327 0.500
Sc1 0.000 0.000 0.000
Pd1 0.133 0.367 0.000
Sc2 0.500 0.500 0.000
La2 0.173 0.673 0.500
Pd2 0.867 0.633 0.000
Pd3 0.367 0.867 0.000
La3 0.327 0.173 0.500
Pd4 0.633 0.133 0.000
La4 0.673 0.827 0.500

Run 2
Entry from Alexandria: a relaxed La2ScPd2 crystal (PBE-GGA).

## Properties
Space group: P4/mbm (127)

a = 8.482 Å, b = 8.482 Å, c = 3.433 Å
α = 90.00°, β = 90.00°, γ = 90.00°
Positions (direct):
La1 0.860 0.640 0.000
Sc1 0.500 0.500 0.000
Pd1 0.331 0.169 0.500
Sc2 0.000 0.000 0.000
La2 0.140 0.360 0.000
La3 0.360 0.860 0.000
Pd2 0.169 0.669 0.500
Pd3 0.669 0.831 0.500
La4 0.640 0.140 0.000
Pd4 0.831 0.331 0.500

Short version: run 1 is the most stable of them.

Run 1
Entry from Alexandria: a relaxed La2ScPd crystal (PBE-GGA).

## Properties
Space group: R-3m (166)

a = 3.450 Å, b = 3.450 Å, c = 11.004 Å
α = 80.98°, β = 80.98°, γ = 60.00°
Positions (direct):
Pd1 0.500 0.500 0.500
Sc1 0.000 0.000 0.000
La1 0.097 0.097 0.710
La2 0.903 0.903 0.290

Run 2
Entry from Alexandria: a relaxed La2ScPd crystal (PBE-GGA).

## Properties
Space group: R3m (160)

a = 3.775 Å, b = 3.775 Å, c = 9.822 Å
α = 78.92°, β = 78.92°, γ = 60.00°
Positions (direct):
La1 0.262 0.262 0.213
Pd1 0.668 0.668 0.997
La2 0.071 0.071 0.787
Sc1 0.499 0.499 0.503

Run 3
Entry from Alexandria: a relaxed La2ScPd crystal (PBE-GGA).

## Properties
Space group: I-42d (122)

a = 8.597 Å, b = 8.597 Å, c = 6.866 Å
α = 51.24°, β = 51.24°, γ = 90.00°
Positions (direct):
La1 0.679 0.125 0.250
Pd1 0.000 0.000 0.000
La2 0.375 0.321 0.750
Sc1 0.500 0.500 0.000
Pd2 0.750 0.250 0.500
Sc2 0.250 0.750 0.500
La3 0.071 0.625 0.250
La4 0.875 0.929 0.750

Short version: run 2 is the most stable of them.

Run 1
Entry from Alexandria: a relaxed La2ScPd crystal (PBE-GGA).

## Properties
Space group: P4/mmm (123)

a = 3.815 Å, b = 3.815 Å, c = 7.667 Å
α = 90.00°, β = 90.00°, γ = 90.00°
Positions (direct):
Pd1 0.500 0.500 0.000
La1 0.000 0.000 0.780
Sc1 0.500 0.500 0.500
La2 0.000 0.000 0.220

Run 2
Entry from Alexandria: a relaxed La2ScPd crystal (PBE-GGA).

## Properties
Space group: Fm-3m (225)

a = 5.364 Å, b = 5.364 Å, c = 5.364 Å
α = 60.00°, β = 60.00°, γ = 60.00°
Positions (direct):
Pd1 0.500 0.500 0.500
Sc1 0.000 0.000 0.000
La1 0.750 0.750 0.750
La2 0.250 0.250 0.250

Short version: run 1 is the most stable of them.

Run 1
Entry from Alexandria: a relaxed LaScPd3 crystal (PBE-GGA).

## Properties
Space group: Pm-3m (221)

a = 5.137 Å, b = 5.137 Å, c = 5.137 Å
α = 90.00°, β = 90.00°, γ = 90.00°
Positions (direct):
Pd1 0.000 0.500 0.000
Pd2 0.000 0.000 0.500
La1 0.000 0.000 0.000
Sc1 0.500 0.500 0.500
Pd3 0.500 0.000 0.000

Run 2
Entry from Alexandria: a relaxed LaScPd3 crystal (PBE-GGA).

## Properties
Space group: P2_1/c (14)

a = 5.642 Å, b = 9.902 Å, c = 7.302 Å
α = 94.56°, β = 90.00°, γ = 90.00°
Positions (direct):
Sc1 0.352 0.945 0.674
Pd1 0.565 0.213 0.635
La1 0.370 0.369 0.302
Pd2 0.352 0.612 0.047
Pd3 0.400 0.130 0.990
Pd4 0.600 0.870 0.010
Pd5 0.935 0.213 0.135
Sc2 0.852 0.055 0.826
Pd6 0.852 0.388 0.453
Pd7 0.065 0.787 0.865
Sc3 0.648 0.055 0.326
Pd8 0.148 0.612 0.547
La2 0.870 0.631 0.198
Pd9 0.100 0.130 0.490
Pd10 0.900 0.870 0.510
La3 0.130 0.369 0.802
Pd11 0.435 0.787 0.365
Pd12 0.648 0.388 0.953
Sc4 0.148 0.945 0.174
La4 0.630 0.631 0.698

Short version: run 2 is the most stable of them.

Run 1
Entry from Alexandria: a relaxed LaPd3Se crystal (PBE-GGA).

## Properties
Space group: Pm-3m (221)

a = 5.129 Å, b = 5.129 Å, c = 5.129 Å
α = 90.00°, β = 90.00°, γ = 90.00°
Positions (direct):
Pd1 0.500 0.000 0.000
Pd2 0.000 0.500 0.000
Se1 0.500 0.500 0.500
La1 0.000 0.000 0.000
Pd3 0.000 0.000 0.500

Run 2
Entry from Alexandria: a relaxed LaPd3Se crystal (PBE-GGA).

## Properties
Space group: Pm-3m (221)

a = 4.799 Å, b = 4.799 Å, c = 4.799 Å
α = 90.00°, β = 90.00°, γ = 90.00°
Positions (direct):
Pd1 0.000 0.500 0.000
Se1 0.000 0.000 0.000
La1 0.500 0.500 0.500
Pd2 0.500 0.000 0.000
Pd3 0.000 0.000 0.500

Short version: run 2 is the most stable of them.